Here is a geometry-optimized TaIrCl structure from Alexandria via LeMat-Bulk. Energies are from PBE-GGA.

Space group ... I4mm, No. 107
Volume ... 20.0 A^3/atom
E above lowest polymorph ... 0.012 eV/atom
M_tot ... 0.00 Bohr magnetons per cell
Formation energy (no corrections) ... -232.8 meV per atom

a = 7.121 Å, b = 7.121 Å, c = 7.121 Å
α = 155.93°, β = 155.93°, γ = 34.30°
Element x y z (fractional)
Ta (0.669, 0.669, 0.000)
Cl (0.043, 0.043, 0.000)
Ir (0.288, 0.288, 0.000)